# 1
# LiLa6Nd2 | Alexandria | PBE-GGA | relaxed
# DFT formation energy, eV per atom: 0.083
# M_tot, μB/f.u.: 0.000
data_LiLa6Nd2
_chemical_formula_sum 'Li1 La6 Nd2'
_cell_length_a 3.6768
_cell_length_b 3.6768
_cell_length_c 27.4866
_cell_angle_alpha 90.00
_cell_angle_beta 90.00
_cell_angle_gamma 120.00
_space_group_name_H-M_alt 'P -6 m 2'
_space_group_IT_number 187
_space_group_name_Hall 'P -6 2'
loop_
_atom_site_label
_atom_site_type_symbol
_atom_site_fract_x
_atom_site_fract_y
_atom_site_fract_z
Li1 Li 0.0000 0.0000 0.0000
La1 La 0.0000 0.0000 0.2144
La2 La 0.0000 0.0000 0.4364
La3 La 0.3333 0.6667 0.1035
Nd1 Nd 0.3333 0.6667 0.3281



# 2
# HgP2Pt2 | Alexandria | PBE-GGA | relaxed
# DFT formation energy, eV per atom: -0.118
# M_tot, μB/f.u.: 0.000
# Offset from the most stable computed form, eV/atom: 0.000
data_HgP2Pt2
_chemical_formula_sum 'Hg2 P4 Pt4'
_cell_length_a 4.1258
_cell_length_b 4.1258
_cell_length_c 14.4606
_cell_angle_alpha 90.00
_cell_angle_beta 90.00
_cell_angle_gamma 90.00
_space_group_name_H-M_alt 'I 4/m m m'
_space_group_IT_number 139
_space_group_name_Hall '-I 4 2'
loop_
_atom_site_label
_atom_site_type_symbol
_atom_site_fract_x
_atom_site_fract_y
_atom_site_fract_z
Hg1 Hg 0.0000 0.0000 0.0000
P1 P 0.0000 0.0000 0.3343
Pt1 Pt 0.0000 0.5000 0.2500



# 3
# KZn3Cl | Alexandria | PBE-GGA | relaxed
# Raw formation energy, eV per atom: 0.1911
# M_tot, μB/f.u.: 0.000
# Offset from the most stable computed form, eV/atom: 0.000
data_KZn3Cl
_chemical_formula_sum 'K1 Zn3 Cl1'
_cell_length_a 5.8930
_cell_length_b 5.8930
_cell_length_c 5.8930
_cell_angle_alpha 90.00
_cell_angle_beta 90.00
_cell_angle_gamma 90.00
_space_group_name_H-M_alt 'P m -3 m'
_space_group_IT_number 221
_space_group_name_Hall '-P 4 2 3'
loop_
_atom_site_label
_atom_site_type_symbol
_atom_site_fract_x
_atom_site_fract_y
_atom_site_fract_z
K1 K 0.0000 0.0000 0.0000
Zn1 Zn 0.0000 0.5000 0.5000
Cl1 Cl 0.5000 0.5000 0.5000